Record 1
Density functional theory data (PBE+U) for a relaxed structure of LiV2PO7.

abc: 4.9601 9.8665 5.0315
angles: 90.00 97.65 90.00
Closest atoms and distances in Å follow each position.
Space group P2_1 (No. 4)
Symmetry-distinct sites (fractional):
Li1 0.1811 0.0000 0.0349 x2  4 O 1.94-2.17
V1 0.3394 0.7151 0.8640 x2  3 O 1.78-1.93
V2 0.3847 0.5260 0.3746 x2  4 O 1.81-1.94
P1 0.0934 0.2688 0.6803 x2  4 O 1.53-1.58
O1 0.0684 0.8155 0.0963 x2  1 P 1.54
O2 0.0883 0.6734 0.5200 x2  1 P 1.57
O3 0.1677 0.3924 0.5222 x2  1 P 1.53
O4 0.1971 0.5656 0.0513 x2  2 V 1.81-1.93, 1 Li 1.98
O5 0.3519 0.1858 0.8018 x2  1 P 1.58
O6 0.4096 0.8842 0.7730 x2  2 V 1.78-1.94
O7 0.4415 0.0915 0.3093 x2  2 V 1.82-1.92, 1 Li 1.98

## Properties
Its mass density is 3.4 g/cm3. The final energy comes out at -160.1 eV for the cell shown. The calculation puts the calculated volume at 244.0 Å³/cell.



Record 2
Density functional theory data (PBE+U) for a relaxed structure of LiVPO5.

abc: 7.3954 6.3963 7.3646
angles: 90.00 90.00 90.00
Closest atoms and distances in Å follow each position.
Space group Pnma (No. 62)
Symmetry-distinct sites (fractional):
Li1 0.0000 0.0000 0.0000 x4  6 O 2.09-2.19
V1 0.1661 0.2500 0.2784 x4  1 O 1.71
P1 0.1267 0.7500 0.3753 x4  4 O 1.53-1.56
O1 0.0469 0.2500 0.5105 x4  1 P 1.53
O2 0.1098 0.7500 0.8361 x4  1 V 1.71
O3 0.1300 0.5573 0.2475 x8  1 P 1.55
O4 0.2022 0.2500 0.9994 x4  1 P 1.56

## Properties
Its mass density is 3.2 g/cm3. The calculation puts the calculated volume at 348.4 Å³/cell. Its energy above the most stable polymorph in this dataset is 0.00 eV per formula unit.



Record 3
Density functional theory data (PBE+U) for a relaxed structure of LiVPO5.

abc: 5.9724 8.7048 10.2807
angles: 115.03 90.27 109.72
Closest atoms and distances in Å follow each position.
Space group P-1 (No. 2)
Symmetry-distinct sites (fractional):
Li1 0.1141 0.2698 0.1085 x2  3 O 1.87-2.04
Li2 0.1588 0.2755 0.6057 x2  3 O 1.87-2.05
V1 0.2065 0.0003 0.2501 x2  2 O 1.71-1.75
V2 0.2552 0.0099 0.7545 x2  6 O 1.99-2.10
P1 0.3424 0.7196 0.2280 x2  4 O 1.48-1.61
P2 0.3742 0.7251 0.7295 x2  4 O 1.48-1.62
O1 0.0469 0.1123 0.8882 x2  1 V 1.75
O2 0.0735 0.1138 0.3862 x2  1 V 1.71
O3 0.1764 0.8179 0.3231 x2  1 P 1.60
O4 0.1930 0.8041 0.8164 x2  1 P 1.56
O5 0.2327 0.5179 0.1542 x2  1 P 1.48
O6 0.2909 0.5235 0.6497 x2  1 P 1.48
O7 0.3607 0.1786 0.1756 x2  1 P 1.60
O8 0.3917 0.8266 0.1296 x2  1 P 1.61
O9 0.3938 0.1950 0.6818 x2  1 P 1.58
O10 0.4341 0.8396 0.6357 x2  1 P 1.62

## Properties
Its mass density is 2.5 g/cm3. The calculation puts the calculated volume at 449.0 Å³/cell. Its energy above the most stable polymorph in this dataset is 0.76 eV per formula unit.



Record 4
Density functional theory data (PBE+U) for a relaxed structure of Li2VP2O8.

abc: 8.9289 4.8256 15.6954
angles: 90.00 98.54 90.00
Closest atoms and distances in Å follow each position.
Space group Cc (No. 9)
Symmetry-distinct sites (fractional):
Li1 0.0000 0.1623 0.0000 x4  3 O 1.89-2.07
Li2 0.1770 0.2294 0.3815 x4  3 O 1.91-2.03
V1 0.1315 0.2878 0.1922 x4  6 O 1.86-2.03
P1 0.2783 0.1971 0.5866 x4  4 O 1.52-1.56
P2 0.4883 0.2725 0.2979 x4  4 O 1.52-1.56
O1 0.0336 0.0269 0.7277 x4  1 P 1.56
O2 0.0343 0.0959 0.8859 x4  1 P 1.52
O3 0.0774 0.4967 0.2922 x4  1 P 1.56
O4 0.1737 0.0586 0.0899 x4  1 P 1.55
O5 0.2331 0.4150 0.6521 x4  1 P 1.56
O6 0.2670 0.3164 0.4962 x4  1 P 1.52
O7 0.3167 0.2040 0.2791 x4  1 P 1.55
O8 0.4456 0.1096 0.6147 x4  1 P 1.55

## Properties
Its mass density is 2.5 g/cm3. The calculation puts the calculated volume at 668.8 Å³/cell. Its energy above the most stable polymorph in this dataset is 0.00 eV per formula unit.



Record 5
Density functional theory data (PBE+U) for a relaxed structure of Li7V4P6O24.

abc: 8.5192 8.5234 8.8389
angles: 89.91 61.24 60.16
Closest atoms and distances in Å follow each position.
Space group P1 (No. 1)
Symmetry-distinct sites (fractional):
Li1 0.0000 0.0000 0.0000 x1  3 O 1.97-2.16
Li2 0.0563 0.1207 0.4056 x1  3 O 1.96-2.04
Li3 0.3445 0.3043 0.0012 x1  3 O 1.96-2.13
Li4 0.4133 0.4732 0.4048 x1  3 O 1.96-2.04
Li5 0.7032 0.6459 0.9948 x1  3 O 1.96-2.19
Li6 0.7712 0.7611 0.3992 x1  3 O 1.96-2.03
Li7 0.8966 0.8727 0.6673 x1  3 O 2.23-2.32
V1 0.1696 0.7412 0.2697 x1  6 O 2.14-2.16
V2 0.1897 0.2303 0.7386 x1  6 O 2.01-2.06
V3 0.5675 0.5413 0.6734 x1  6 O 2.03-2.08
V4 0.5928 0.0262 0.1338 x1  6 O 2.06-2.12
P1 0.0810 0.6359 0.9536 x1  4 O 1.54-1.56
P2 0.0832 0.4296 0.4557 x1  4 O 1.55-1.56
P3 0.3787 0.9341 0.9564 x1  4 O 1.54-1.57
P4 0.3808 0.8412 0.4566 x1  4 O 1.55-1.57
P5 0.6710 0.1376 0.4575 x1  4 O 1.55-1.57
P6 0.6754 0.3373 0.9571 x1  4 O 1.54-1.56
O1 0.0296 0.6861 0.1466 x1  1 P 1.54
O2 0.1695 0.3999 0.5796 x1  1 P 1.55
O3 0.1736 0.4215 0.8960 x1  1 P 1.55
O4 0.2014 0.0501 0.5795 x1  1 P 1.55
O5 0.2236 0.0539 0.8965 x1  1 P 1.55
O6 0.2361 0.9374 0.1504 x1  1 P 1.54
O7 0.2382 0.6900 0.8293 x1  1 P 1.55
O8 0.2591 0.7539 0.4567 x1  1 P 1.55
O9 0.2782 0.2832 0.2629 x1  1 P 1.56
O10 0.4866 0.4785 0.1496 x1  1 P 1.54
O11 0.5064 0.0192 0.9520 x1  1 P 1.57
O12 0.5158 0.0842 0.5847 x1  1 P 1.55
O13 0.5256 0.8459 0.2626 x1  1 P 1.57
O14 0.5398 0.7187 0.5125 x1  1 P 1.55
O15 0.5564 0.7234 0.8342 x1  1 P 1.55
O16 0.5826 0.3517 0.5103 x1  1 P 1.55
O17 0.5872 0.3699 0.8336 x1  1 P 1.55
O18 0.7167 0.0842 0.2648 x1  1 P 1.57
O19 0.7625 0.1263 0.9553 x1  1 P 1.56
O20 0.8575 0.3705 0.8950 x1  1 P 1.55
O21 0.8731 0.7580 0.9502 x1  1 P 1.56
O22 0.8789 0.0161 0.4593 x1  1 P 1.55
O23 0.9027 0.3945 0.5142 x1  1 P 1.55
O24 0.9943 0.6395 0.4579 x1  1 P 1.55

## Properties
Its mass density is 2.9 g/cm3. The calculation puts the calculated volume at 463.6 Å³/cell. Its energy above the most stable polymorph in this dataset is 0.36 eV per formula unit.